No. 1
# Ca2LaTa PBE-GGA optimized geometry
# VASP energy in eV per atom: -4.585
# Excess energy over the best structure of this formula in the dataset in meV per atom: 152
# Energy of formation in eV per atom: 0.611
data_Ca2LaTa
_chemical_formula_sum 'Ca4 La2 Ta2'
_cell_length_a 3.5686
_cell_length_b 5.4865
_cell_length_c 12.1354
_cell_angle_alpha 90.00
_cell_angle_beta 90.00
_cell_angle_gamma 90.00
_symmetry_space_group_name_H-M 'C m m m'
_symmetry_Int_Tables_number 65
_symmetry_space_group_name_Hall '-C 2 2'
loop_
_atom_site_label
_atom_site_type_symbol
_atom_site_fract_x
_atom_site_fract_y
_atom_site_fract_z
Ca1 Ca 0.0000 0.0000 0.2169
La1 La 0.0000 0.5000 0.5000
Ta1 Ta 0.0000 0.5000 0.0000


No. 2
# CaLaTa PBE-GGA optimized geometry
# VASP energy in eV per atom: -5.656
# Excess energy over the best structure of this formula in the dataset in meV per atom: 73
# Energy of formation in eV per atom: 0.604
data_CaLaTa
_chemical_formula_sum 'Ca1 La1 Ta1'
_cell_length_a 3.3266
_cell_length_b 3.3266
_cell_length_c 8.7928
_cell_angle_alpha 90.00
_cell_angle_beta 90.00
_cell_angle_gamma 120.00
_symmetry_space_group_name_H-M 'P 3 m 1'
_symmetry_Int_Tables_number 156
loop_
_symmetry_equiv_pos_as_xyz
'x,y,z'
'-y,x-y,z'
'-x+y,-x,z'
'-y,-x,z'
'-x+y,y,z'
'x,x-y,z'
loop_
_atom_site_label
_atom_site_type_symbol
_atom_site_fract_x
_atom_site_fract_y
_atom_site_fract_z
Ca1 Ca 0.0000 0.0000 0.0000
La1 La 0.3333 0.6667 0.4037
Ta1 Ta 0.6667 0.3333 0.7007


No. 3
# CaLa2Ta PBE-GGA optimized geometry
# VASP energy in eV per atom: -5.438
# Excess energy over the best structure of this formula in the dataset in meV per atom: 144
# Energy of formation in eV per atom: 0.489
data_CaLa2Ta
_chemical_formula_sum 'Ca2 La4 Ta2'
_cell_length_a 3.5164
_cell_length_b 6.0880
_cell_length_c 11.8652
_cell_angle_alpha 90.00
_cell_angle_beta 90.00
_cell_angle_gamma 90.00
_symmetry_space_group_name_H-M 'I m m m'
_symmetry_Int_Tables_number 71
_symmetry_space_group_name_Hall '-I 2 2'
loop_
_atom_site_label
_atom_site_type_symbol
_atom_site_fract_x
_atom_site_fract_y
_atom_site_fract_z
Ca1 Ca 0.0000 0.0000 0.0000
La1 La 0.0000 0.5000 0.2038
Ta1 Ta 0.0000 0.0000 0.5000


No. 4
# Ca2LaTa PBE-GGA optimized geometry
# VASP energy in eV per atom: -4.290
# Excess energy over the best structure of this formula in the dataset in meV per atom: 446
# Energy of formation in eV per atom: 0.905
data_Ca2LaTa
_chemical_formula_sum 'Ca8 La4 Ta4'
_cell_length_a 4.5401
_cell_length_b 4.5401
_cell_length_c 23.9761
_cell_angle_alpha 90.00
_cell_angle_beta 90.00
_cell_angle_gamma 90.00
_symmetry_space_group_name_H-M 'I -4 2 d'
_symmetry_Int_Tables_number 122
_symmetry_space_group_name_Hall 'I -4 2bw'
loop_
_atom_site_label
_atom_site_type_symbol
_atom_site_fract_x
_atom_site_fract_y
_atom_site_fract_z
Ca1 Ca 0.2344 0.2500 0.1250
La1 La 0.0000 0.0000 0.5000
Ta1 Ta 0.0000 0.0000 0.0000


No. 5
# CaLa2Ta PBE-GGA optimized geometry
# VASP energy in eV per atom: -5.288
# Excess energy over the best structure of this formula in the dataset in meV per atom: 295
# Energy of formation in eV per atom: 0.640
data_CaLa2Ta
_chemical_formula_sum 'Ca4 La8 Ta4'
_cell_length_a 7.8754
_cell_length_b 7.8754
_cell_length_c 7.8754
_cell_angle_alpha 90.00
_cell_angle_beta 90.00
_cell_angle_gamma 90.00
_symmetry_space_group_name_H-M 'F -4 3 m'
_symmetry_Int_Tables_number 216
_symmetry_space_group_name_Hall 'F -4 2 3'
loop_
_atom_site_label
_atom_site_type_symbol
_atom_site_fract_x
_atom_site_fract_y
_atom_site_fract_z
Ca1 Ca 0.0000 0.0000 0.0000
La1 La 0.0000 0.0000 0.5000
La2 La 0.2500 0.2500 0.2500
Ta1 Ta 0.2500 0.2500 0.7500


No. 6
# CaLa2Ta PBE-GGA optimized geometry
# VASP energy in eV per atom: -5.373
# Excess energy over the best structure of this formula in the dataset in meV per atom: 209
# Energy of formation in eV per atom: 0.554
data_CaLa2Ta
_chemical_formula_sum 'Ca2 La4 Ta2'
_cell_length_a 7.1181
_cell_length_b 9.7072
_cell_length_c 3.4414
_cell_angle_alpha 90.00
_cell_angle_beta 90.00
_cell_angle_gamma 90.00
_symmetry_space_group_name_H-M 'C m m m'
_symmetry_Int_Tables_number 65
_symmetry_space_group_name_Hall '-C 2 2'
loop_
_atom_site_label
_atom_site_type_symbol
_atom_site_fract_x
_atom_site_fract_y
_atom_site_fract_z
Ca1 Ca 0.0000 0.0000 0.0000
La1 La 0.2500 0.2500 0.5000
Ta1 Ta 0.0000 0.5000 0.0000